Entry 1:
KNaLi2Sb (PBE-GGA, optimized geometry); symmetry = P4/mmm; ρ = 1.87 g/cm3; formation energy from raw total energies = -0.266 eV per atom
1.0
5.4001 0.0000 0.0000
0.0000 5.4001 0.0000
0.0000 0.0000 6.0233
K Na Li Sb
1 1 2 1
Cartesian
0.0000 0.0000 0.0000 K
2.7000 2.7000 0.0000 Na
0.0000 2.7000 3.0116 Li
2.7000 0.0000 3.0116 Li
2.7000 2.7000 3.0116 Sb

Entry 2:
YTm2In (PBE-GGA, optimized geometry); symmetry = P4/mmm; ρ = 8.09 g/cm3; E above lowest polymorph = 0 kJ/mol of formula units
1.0
4.7998 0.0000 0.0000
0.0000 4.7998 0.0000
0.0000 0.0000 4.8256
Y Tm In
1 2 1
Cartesian
0.0000 0.0000 0.0000 Y
0.0000 2.3999 2.4128 Tm
2.3999 0.0000 2.4128 Tm
2.3999 2.3999 0.0000 In

Entry 3:
Sn3PtF (PBE-GGA, optimized geometry); symmetry = Pm-3m; ρ = 6.51 g/cm3; E above lowest polymorph = 0 kJ/mol of formula units; formation energy from raw total energies = -0.208 eV per atom
1.0
5.2587 0.0000 0.0000
0.0000 5.2587 0.0000
0.0000 0.0000 5.2587
Sn Pt F
3 1 1
Cartesian
0.0000 0.0000 2.6294 Sn
0.0000 2.6294 0.0000 Sn
2.6294 0.0000 0.0000 Sn
0.0000 0.0000 0.0000 Pt
2.6294 2.6294 2.6294 F

Entry 4:
FeTcNi (PBE-GGA, optimized geometry); symmetry = Fmmm; ρ = 9.18 g/cm3; E above lowest polymorph = 24 kJ/mol of formula units
1.0
0.0000 3.9311 4.2262
2.3150 0.0000 4.2262
2.3150 3.9311 0.0000
Fe Tc Ni
2 2 2
Cartesian
2.3150 3.9311 1.2415 Fe
2.3150 3.9311 7.2109 Fe
2.3150 2.7204 4.2262 Tc
2.3150 5.1418 4.2262 Tc
1.1575 1.9655 2.1131 Ni
3.4725 5.8966 6.3393 Ni

Entry 5:
K2NO (PBE-GGA, optimized geometry); symmetry = Fm-3m; ρ = 2.36 g/cm3; E above lowest polymorph = 0 kJ/mol of formula units; formation energy from raw total energies = 0.293 eV per atom
1.0
0.0000 3.3640 3.3640
3.3640 0.0000 3.3640
3.3640 3.3640 0.0000
K N O
2 1 1
Cartesian
1.6820 1.6820 1.6820 K
5.0460 5.0460 5.0460 K
0.0000 0.0000 0.0000 N
3.3640 3.3640 3.3640 O

Entry 6:
DyAlHg2 (PBE-GGA, optimized geometry); symmetry = P4/mmm; ρ = 10.87 g/cm3; VASP energy = -2.52 eV per atom
1.0
4.4988 0.0000 0.0000
0.0000 4.4988 0.0000
0.0000 0.0000 4.4597
Dy Al Hg
1 1 2
Cartesian
0.0000 0.0000 0.0000 Dy
2.2494 2.2494 0.0000 Al
0.0000 2.2494 2.2298 Hg
2.2494 0.0000 2.2298 Hg

Entry 7:
BaNa2GaF8 (PBE-GGA, optimized geometry); symmetry = P-1; ρ = 3.63 g/cm3; formation energy from raw total energies = -2.748 eV per atom
1.0
4.9110 0.0000 0.0000
0.0809 5.0680 0.0000
0.0106 0.0377 7.4432
Ba Na Ga F
1 2 1 8
Cartesian
0.0000 0.0000 0.0000 Ba
2.4973 2.5382 2.1270 Na
2.5052 2.5675 5.3163 Na
0.0053 0.0188 3.7216 Ga
0.7077 3.9376 5.1415 F
0.7217 3.9345 2.3122 F
1.6279 1.0663 3.7326 F
2.3515 1.3391 0.0009 F
2.6510 3.7665 7.4423 F
3.3746 4.0394 3.7106 F
4.2808 1.1712 5.1310 F
4.2949 1.1680 2.3017 F

Entry 8:
In2CuAu (PBE-GGA, optimized geometry); symmetry = Pmm2; ρ = 10.16 g/cm3; VASP energy = -3.21 eV per atom
1.0
3.5837 0.0000 0.0000
0.0000 3.9645 0.0000
0.0000 0.0000 5.6410
In Cu Au
2 1 1
Cartesian
0.0000 0.0000 0.0000 In
1.7918 1.9823 1.7719 In
1.7918 1.9823 4.5531 Cu
0.0000 0.0000 2.9196 Au

Entry 9:
Zn2InBr (PBE-GGA, optimized geometry); symmetry = P4/mmm; ρ = 5.06 g/cm3; E above lowest polymorph = 76 kJ/mol of formula units; formation energy from raw total energies = 0.053 eV per atom
1.0
4.4532 0.0000 0.0000
0.0000 4.4532 0.0000
0.0000 0.0000 5.3850
Zn In Br
2 1 1
Cartesian
0.0000 2.2266 0.0000 Zn
2.2266 0.0000 0.0000 Zn
0.0000 0.0000 2.6925 In
2.2266 2.2266 2.6925 Br

Entry 10:
SrTeRu (PBE-GGA, optimized geometry); symmetry = F-43m; ρ = 6.82 g/cm3; E above lowest polymorph = 88 kJ/mol of formula units; formation energy from raw total energies = -0.107 eV per atom
1.0
0.0000 3.3772 3.3772
3.3772 0.0000 3.3772
3.3772 3.3772 0.0000
Sr Te Ru
1 1 1
Cartesian
0.0000 0.0000 0.0000 Sr
3.3772 3.3772 3.3772 Te
5.0659 5.0659 5.0659 Ru

Entry 11:
ErTm3Sc7 (PBE-GGA, optimized geometry); symmetry = Immm; ρ = 5.47 g/cm3; VASP energy = -5.36 eV per atom
1.0
-2.7045 5.1940 5.3426
2.7045 -5.1940 5.3426
2.7045 5.1940 -5.3426
Er Tm Sc
1 3 7
Cartesian
0.0000 0.0000 0.0000 Er
2.7045 3.0151 0.0000 Tm
0.0000 5.1940 0.0000 Tm
0.0000 2.1789 5.3426 Tm
2.7045 0.0000 0.0000 Sc
2.7045 -2.0154 3.0769 Sc
0.0000 0.0000 3.1209 Sc
2.7045 2.0154 3.0769 Sc
0.0000 3.1786 2.2657 Sc
0.0000 0.0000 7.5644 Sc
0.0000 7.2094 2.2657 Sc

Entry 12:
Ag3SnH (PBE-GGA, optimized geometry); symmetry = Pm-3m; ρ = 4.88 g/cm3; E above lowest polymorph = 348 kJ/mol of formula units
1.0
5.3218 0.0000 0.0000
0.0000 5.3218 0.0000
0.0000 0.0000 5.3218
Ag Sn H
3 1 1
Cartesian
0.0000 0.0000 2.6609 Ag
0.0000 2.6609 0.0000 Ag
2.6609 0.0000 0.0000 Ag
0.0000 0.0000 0.0000 Sn
2.6609 2.6609 2.6609 H

Entry 13:
BeRu5 (PBE-GGA, optimized geometry); symmetry = P-62m; ρ = 10.72 g/cm3; E above lowest polymorph = 52 kJ/mol of formula units
1.0
4.6443 0.0000 0.0000
-2.3222 4.0221 0.0000
0.0000 0.0000 4.2666
Be Ru
1 5
Cartesian
0.0000 0.0000 0.0000 Be
-1.5838 2.7433 2.1333 Ru
0.7383 1.2788 2.1333 Ru
0.0000 2.6814 0.0000 Ru
2.3222 1.3407 0.0000 Ru
3.1676 0.0000 2.1333 Ru

Entry 14:
HfScBe2 (PBE-GGA, optimized geometry); symmetry = P4/mmm; ρ = 6.46 g/cm3; E above lowest polymorph = 0 kJ/mol of formula units
1.0
3.1308 0.0000 0.0000
0.0000 3.1308 0.0000
0.0000 0.0000 6.3343
Hf Sc Be
1 1 2
Cartesian
0.0000 0.0000 0.0000 Hf
0.0000 0.0000 3.1671 Sc
1.5654 1.5654 1.5539 Be
1.5654 1.5654 4.7804 Be

Entry 15:
CaTiS2 (PBE-GGA, optimized geometry); symmetry = R-3m; ρ = 2.40 g/cm3; E above lowest polymorph = 208 kJ/mol of formula units; formation energy from raw total energies = -1.006 eV per atom
1.0
1.9919 1.1500 7.6516
-1.9919 1.1500 7.6516
0.0000 -2.3001 7.6516
Ca Ti S
1 1 2
Cartesian
0.0000 0.0000 0.0000 Ca
0.0000 0.0000 11.4773 Ti
0.0000 0.0000 9.2150 S
0.0000 0.0000 13.7397 S

Entry 16:
LaTeSe (PBE-GGA, optimized geometry); symmetry = I4/mmm; ρ = 6.60 g/cm3; E above lowest polymorph = 0 kJ/mol of formula units; formation energy from raw total energies = -1.578 eV per atom
1.0
-2.1992 2.1992 8.9890
2.1992 -2.1992 8.9890
2.1992 2.1992 -8.9890
La Te Se
2 2 2
Cartesian
0.0000 0.0000 2.6860 La
0.0000 0.0000 15.2921 La
2.1992 0.0000 0.0000 Te
0.0000 2.1992 0.0000 Te
0.0000 0.0000 5.7003 Se
0.0000 0.0000 12.2778 Se

Entry 17:
LiCeGaPt2 (PBE-GGA, optimized geometry); symmetry = I-4m2; ρ = 10.73 g/cm3; VASP energy = -5.47 eV per atom
1.0
-1.9418 1.9418 6.2266
1.9418 -1.9418 6.2266
1.9418 1.9418 -6.2266
Li Ce Ga Pt
1 1 1 2
Cartesian
0.0000 0.0000 0.0000 Li
0.0000 1.9418 3.1133 Ce
0.0000 0.0000 6.2266 Ga
1.9418 0.0000 1.7398 Pt
1.9418 0.0000 4.4868 Pt

Entry 18:
CaPRuS2 (PBE-GGA, optimized geometry); symmetry = P4/mmm; ρ = 2.95 g/cm3; E above lowest polymorph = 750 kJ/mol of formula units; formation energy from raw total energies = 1.194 eV per atom
1.0
5.0687 0.0000 0.0000
0.0000 5.0687 0.0000
0.0000 0.0000 5.1765
Ca P Ru S
1 1 1 2
Cartesian
0.0000 0.0000 0.0000 Ca
0.0000 0.0000 2.5882 P
2.5344 2.5344 2.5882 Ru
0.0000 2.5344 0.0000 S
2.5344 0.0000 0.0000 S

Entry 19:
Tl3Zn2AuF9 (PBE-GGA, optimized geometry); symmetry = P-3m1; ρ = 7.73 g/cm3; formation energy from raw total energies = -1.792 eV per atom
1.0
6.0620 0.0000 0.0000
-3.0310 5.2499 0.0000
0.0000 0.0000 7.5013
Tl Zn Au F
3 2 1 9
Cartesian
0.0000 0.0000 0.0000 Tl
0.0000 3.4999 4.9550 Tl
3.0310 1.7500 2.5463 Tl
0.0000 3.4999 1.1359 Zn
3.0310 1.7500 6.3654 Zn
0.0000 0.0000 3.7507 Au
-1.5155 2.6249 0.0000 F
0.0000 1.8522 2.3776 F
-1.4270 4.3238 2.3776 F
1.6040 0.9261 5.1237 F
3.0310 0.0000 0.0000 F
1.5155 2.6249 0.0000 F
1.4270 4.3238 2.3776 F
4.4580 0.9261 5.1237 F
3.0310 3.3977 5.1237 F

Entry 20:
Zn7Cu3Rh (PBE-GGA, optimized geometry); symmetry = C2/m; ρ = 7.46 g/cm3; VASP energy = -2.56 eV per atom
1.0
4.7115 -4.4093 0.0000
4.7115 4.4093 0.0000
-2.2198 0.0000 4.0282
Zn Cu Rh
7 3 1
Cartesian
0.0000 0.0000 0.0000 Zn
2.4103 2.1275 1.3498 Zn
1.1805 0.0000 3.2403 Zn
4.7930 2.1275 2.6784 Zn
2.4103 -2.1275 1.3498 Zn
6.0228 0.0000 0.7879 Zn
4.7930 -2.1275 2.6784 Zn
4.7115 1.9542 0.0000 Cu
3.6016 0.0000 2.0141 Cu
4.7115 -1.9542 0.0000 Cu
-1.1099 0.0000 2.0141 Rh

Entry 21:
RbBi2Pb3 (PBE-GGA, optimized geometry); symmetry = Immm; ρ = 8.25 g/cm3; E above lowest polymorph = 9 kJ/mol of formula units
1.0
-2.3676 5.7840 8.2669
2.3676 -5.7840 8.2669
2.3676 5.7840 -8.2669
Rb Bi Pb
2 4 6
Cartesian
0.0000 0.0000 2.2083 Rb
0.0000 0.0000 14.3254 Rb
2.3676 1.9918 0.0000 Bi
2.3676 0.0000 5.3034 Bi
0.0000 5.7840 2.9635 Bi
0.0000 3.7922 8.2669 Bi
2.3676 3.3925 -2.9648 Pb
0.0000 4.0739 0.0000 Pb
2.3676 3.3925 2.9648 Pb
0.0000 2.3916 5.3021 Pb
0.0000 7.4942 0.0000 Pb
0.0000 2.3916 11.2316 Pb

Entry 22:
ZrIrSN2 (PBE-GGA, optimized geometry); symmetry = P4/mmm; ρ = 6.61 g/cm3; E above lowest polymorph = 323 kJ/mol of formula units; formation energy from raw total energies = 1.113 eV per atom
1.0
4.0446 0.0000 0.0000
0.0000 4.0446 0.0000
0.0000 0.0000 5.2758
Zr Ir S N
1 1 1 2
Cartesian
0.0000 0.0000 0.0000 Zr
2.0223 2.0223 2.6379 Ir
0.0000 0.0000 2.6379 S
0.0000 2.0223 0.0000 N
2.0223 0.0000 0.0000 N

Entry 23:
Pm3Hg2Pd8 (PBE-GGA, optimized geometry); symmetry = R-3m; ρ = 10.47 g/cm3; VASP energy = -4.82 eV per atom
1.0
2.7106 1.5649 10.5151
-2.7106 1.5649 10.5151
0.0000 -3.1299 10.5151
Pm Hg Pd
3 2 8
Cartesian
0.0000 0.0000 0.0000 Pm
0.0000 0.0000 5.9745 Pm
0.0000 0.0000 25.5707 Pm
0.0000 0.0000 11.4703 Hg
0.0000 0.0000 20.0750 Hg
-1.3681 -0.7899 17.7924 Pd
0.0000 -1.5797 13.7529 Pd
-1.3681 0.7899 13.7529 Pd
0.0000 0.0000 8.8010 Pd
0.0000 0.0000 22.7442 Pd
1.3681 -0.7899 17.7924 Pd
0.0000 1.5797 17.7924 Pd
1.3681 0.7899 13.7529 Pd

Entry 24:
ErNp2S4 (PBE-GGA, optimized geometry); symmetry = Imma; ρ = 7.60 g/cm3; E above lowest polymorph = 17 kJ/mol of formula units; formation energy from raw total energies = -1.525 eV per atom
1.0
-3.8825 3.9331 5.5021
3.8825 -3.9331 5.5021
3.8825 3.9331 -5.5021
Er Np S
2 4 8
Cartesian
-1.9412 1.9666 2.7511 Er
1.9412 1.9666 2.7511 Er
0.0000 0.0000 0.0000 Np
1.9412 1.9666 -2.7511 Np
1.9412 -1.9666 2.7511 Np
0.0000 3.9331 0.0000 Np
3.8825 0.0248 2.7109 S
1.8816 1.9666 0.0301 S
2.0009 -1.9666 5.5322 S
0.0000 0.0248 2.7913 S
3.8825 3.9083 2.7109 S
1.8816 5.8997 -0.0301 S
2.0009 1.9666 5.4720 S
0.0000 3.9083 2.7913 S

Entry 25:
KIn2Br4 (PBE-GGA, optimized geometry); symmetry = I4/mmm; ρ = 3.40 g/cm3; formation energy from raw total energies = -0.809 eV per atom
1.0
-3.1191 3.1191 7.3859
3.1191 -3.1191 7.3859
3.1191 3.1191 -7.3859
K In Br
1 2 4
Cartesian
0.0000 0.0000 0.0000 K
0.0000 0.0000 5.9109 In
0.0000 0.0000 8.8608 In
3.1191 0.0000 0.0000 Br
0.0000 0.0000 3.3076 Br
0.0000 3.1191 0.0000 Br
0.0000 0.0000 11.4642 Br

Entry 26:
CdPBrO2 (PBE-GGA, optimized geometry); symmetry = P4/mmm; ρ = 5.23 g/cm3; formation energy from raw total energies = 0.562 eV per atom
1.0
3.9337 0.0000 0.0000
0.0000 3.9337 0.0000
0.0000 0.0000 5.2339
Cd P Br O
1 1 1 2
Cartesian
0.0000 0.0000 0.0000 Cd
1.9669 1.9669 0.0000 P
1.9669 1.9669 2.6170 Br
0.0000 1.9669 2.6170 O
1.9669 0.0000 2.6170 O